Li2TaNb: relaxed, GGA-PBE.

total DFT energy (no corrections)	-5.75	eV/atom
SG	No. 216
size of the total moment	0.01	μB per formula unit

a = 4.545 Å, b = 4.545 Å, c = 4.545 Å
α = 60.00°, β = 60.00°, γ = 60.00°
Element x y z (fractional)
1 Li 0.000 0.000 0.000
2 Li 0.250 0.250 0.250
3 Ta 0.750 0.750 0.750
4 Nb 0.500 0.500 0.500